DFT (PBE-GGA) results for an optimized crystal structure of K4Ce3CoS8.

Unit cell a=8.1482 b=8.1482 c=8.7134 alpha=117.90 beta=117.90 gamma=59.91
Atoms (fractional coordinates):
K (0.0000, 0.0000, 0.0000)
K (0.0000, 0.5000, 0.0000)
K (0.5000, 0.0000, 0.0000)
K (0.5000, 0.5000, 0.0000)
Ce (0.0000, 0.0000, 0.5000)
Ce (0.0000, 0.5000, 0.5000)
Ce (0.5000, 0.0000, 0.5000)
Co (0.5000, 0.5000, 0.5000)
S (0.2362, 0.2362, 0.7090)
S (0.2430, 0.7262, 0.6958)
S (0.2718, 0.2718, 0.3026)
S (0.2738, 0.7570, 0.3042)
S (0.7262, 0.2430, 0.6958)
S (0.7282, 0.7282, 0.6974)
S (0.7570, 0.2738, 0.3042)
S (0.7638, 0.7638, 0.2910)

Properties
**Magnetic moment**: 4.0 Bohr magnetons per cell
**E_form (uncorrected)**: -23.3 eV per formula unit
**Space-group type**: No. 12

=====

DFT (PBE-GGA) results for an optimized crystal structure of NaLaTl6.

Unit cell a=6.8843 b=6.8843 c=4.9278 alpha=90.00 beta=90.00 gamma=90.15
Atoms (fractional coordinates):
Na (0.0000, 0.0000, 0.0000)
La (0.5000, 0.5000, 0.0000)
Tl (0.0000, 0.5000, 0.0000)
Tl (0.2485, 0.2485, 0.5000)
Tl (0.2489, 0.7511, 0.5000)
Tl (0.5000, 0.0000, 0.0000)
Tl (0.7511, 0.2489, 0.5000)
Tl (0.7515, 0.7515, 0.5000)

Properties
**Calculated formation energy**: -1.38 eV/f.u.
**Magnetic moment**: 0.0 Bohr magnetons per cell
**Space-group type**: No. 65

=====

DFT (PBE-GGA) results for an optimized crystal structure of KLi2AsBr6.

Unit cell a=8.8474 b=8.8474 c=8.8474 alpha=45.37 beta=45.37 gamma=45.37
Atoms (fractional coordinates):
K (0.0000, 0.0000, 0.0000)
Li (0.1697, 0.1697, 0.1697)
Li (0.8303, 0.8303, 0.8303)
As (0.5000, 0.5000, 0.5000)
Br (0.1117, 0.7594, 0.4374)
Br (0.2406, 0.5626, 0.8883)
Br (0.4374, 0.1117, 0.7594)
Br (0.5626, 0.8883, 0.2406)
Br (0.7594, 0.4374, 0.1117)
Br (0.8883, 0.2406, 0.5626)

Properties
**Magnetic moment**: 0.0 Bohr magnetons per cell
**E_form (uncorrected)**: -11.3 eV per formula unit
**Space-group type**: No. 148

=====

DFT (PBE-GGA) results for an optimized crystal structure of MnBiSe2.

Unit cell a=10.7792 b=10.7792 c=4.9885 alpha=90.00 beta=90.00 gamma=159.13
Atoms (fractional coordinates):
Mn (0.0651, 0.9349, 0.7500)
Mn (0.9349, 0.0651, 0.2500)
Bi (0.3268, 0.6732, 0.7500)
Bi (0.6732, 0.3268, 0.2500)
Se (0.0567, 0.9433, 0.2500)
Se (0.1854, 0.8146, 0.7500)
Se (0.8146, 0.1854, 0.2500)
Se (0.9433, 0.0567, 0.7500)

Properties
**Magnetic moment**: 8.6 Bohr magnetons per cell
**E_form (uncorrected)**: -0.3 eV per formula unit
**Space-group type**: No. 63

=====

DFT (PBE-GGA) results for an optimized crystal structure of LiSn2Bi2.

Unit cell a=8.5622 b=8.5622 c=4.1421 alpha=90.00 beta=90.00 gamma=90.00
Atoms (fractional coordinates):
Li (0.0000, 0.0000, 0.0000)
Li (0.5000, 0.5000, 0.0000)
Sn (0.1408, 0.3592, 0.5000)
Sn (0.3592, 0.8592, 0.5000)
Sn (0.6408, 0.1408, 0.5000)
Sn (0.8592, 0.6408, 0.5000)
Bi (0.1557, 0.6557, 0.0000)
Bi (0.3443, 0.1557, 0.0000)
Bi (0.6557, 0.8443, 0.0000)
Bi (0.8443, 0.3443, 0.0000)

Properties
**Calculated formation energy**: 0.05 eV/f.u.
**Magnetic moment**: 0.0 Bohr magnetons per cell
**Space-group type**: No. 127

=====

DFT (PBE-GGA) results for an optimized crystal structure of Pr2Pd2Au3.

Unit cell a=5.4118 b=5.4118 c=8.4733 alpha=113.66 beta=113.66 gamma=46.25
Atoms (fractional coordinates):
Pr (0.2027, 0.2027, 0.2666)
Pr (0.7973, 0.7973, 0.7334)
Pd (0.1592, 0.1592, 0.8937)
Pd (0.8408, 0.8408, 0.1063)
Au (0.4673, 0.4673, 0.6430)
Au (0.5000, 0.5000, 0.0000)
Au (0.5327, 0.5327, 0.3570)

Properties
**Calculated formation energy**: -4.19 eV/f.u.
**Magnetic moment**: 0.0 Bohr magnetons per cell
**Space-group type**: No. 12

=====

DFT (PBE-GGA) results for an optimized crystal structure of Al5Zn2Re2.

Unit cell a=4.8081 b=4.8081 c=8.0631 alpha=99.18 beta=99.18 gamma=49.53
Atoms (fractional coordinates):
Al (0.0000, 0.0000, 0.0000)
Al (0.0773, 0.0773, 0.6704)
Al (0.3875, 0.3875, 0.7906)
Al (0.6125, 0.6125, 0.2094)
Al (0.9227, 0.9227, 0.3296)
Zn (0.2359, 0.2359, 0.4057)
Zn (0.7641, 0.7641, 0.5943)
Re (0.3080, 0.3080, 0.1014)
Re (0.6920, 0.6920, 0.8986)

Properties
**Calculated formation energy**: -0.43 eV/f.u.
**Magnetic moment**: 0.0 Bohr magnetons per cell
**Space-group type**: No. 12

=====

DFT (PBE-GGA) results for an optimized crystal structure of CsPrSe.

Unit cell a=14.1560 b=14.1560 c=14.1560 alpha=20.13 beta=20.13 gamma=20.13
Atoms (fractional coordinates):
Cs (0.1092, 0.1092, 0.1092)
Cs (0.8908, 0.8908, 0.8908)
Pr (0.3063, 0.3063, 0.3063)
Pr (0.6937, 0.6937, 0.6937)
Se (0.3808, 0.3808, 0.3808)
Se (0.6192, 0.6192, 0.6192)

Properties
**Magnetic moment**: 1.7 Bohr magnetons per cell
**E_form (uncorrected)**: -2.9 eV per formula unit
**Space-group type**: No. 166

=====

DFT (PBE-GGA) results for an optimized crystal structure of Sb2TePtPb.

Unit cell a=5.2292 b=5.2292 c=5.6168 alpha=90.00 beta=90.00 gamma=90.00
Atoms (fractional coordinates):
Sb (0.0000, 0.5000, 0.0000)
Sb (0.5000, 0.0000, 0.0000)
Te (0.0000, 0.0000, 0.5000)
Pt (0.0000, 0.0000, 0.0000)
Pb (0.5000, 0.5000, 0.5000)

Properties
**Magnetic moment**: 0.0 Bohr magnetons per cell
**E_form (uncorrected)**: 1.0 eV per formula unit
**Space-group type**: No. 123

=====

DFT (PBE-GGA) results for an optimized crystal structure of LaErO3.

Unit cell a=6.0737 b=8.5140 c=5.8766 alpha=90.00 beta=90.00 gamma=90.00
Atoms (fractional coordinates):
La (0.0479, 0.2500, 0.0154)
La (0.4521, 0.7500, 0.5154)
La (0.5479, 0.2500, 0.4846)
La (0.9521, 0.7500, 0.9846)
Er (0.0000, 0.0000, 0.5000)
Er (0.0000, 0.5000, 0.5000)
Er (0.5000, 0.0000, 0.0000)
Er (0.5000, 0.5000, 0.0000)
O (0.0573, 0.7500, 0.3727)
O (0.1944, 0.5679, 0.8074)
O (0.1944, 0.9321, 0.8074)
O (0.3056, 0.0679, 0.3074)
O (0.3056, 0.4321, 0.3074)
O (0.4427, 0.2500, 0.8727)
O (0.5573, 0.7500, 0.1273)
O (0.6944, 0.5679, 0.6926)
O (0.6944, 0.9321, 0.6926)
O (0.8056, 0.0679, 0.1926)
O (0.8056, 0.4321, 0.1926)
O (0.9427, 0.2500, 0.6273)

Properties
**Magnetic moment**: 0.0 Bohr magnetons per cell
**E_form (uncorrected)**: -17.6 eV per formula unit
**Space-group type**: No. 62

=====

DFT (PBE-GGA) results for an optimized crystal structure of As2HRhBr.

Unit cell a=4.7116 b=4.7116 c=5.5545 alpha=90.00 beta=90.00 gamma=90.00
Atoms (fractional coordinates):
As (0.0000, 0.5000, 0.0000)
As (0.5000, 0.0000, 0.0000)
H (0.0000, 0.0000, 0.5000)
Rh (0.5000, 0.5000, 0.0000)
Br (0.5000, 0.5000, 0.5000)

Properties
**Magnetic moment**: 0.6 Bohr magnetons per cell
**Space-group type**: No. 123
**Final energy**: -18.06 eV for the cell shown

=====

DFT (PBE-GGA) results for an optimized crystal structure of TaNi7Sn2P2.

Unit cell a=14.3439 b=14.3439 c=14.3439 alpha=165.54 beta=165.54 gamma=20.51
Atoms (fractional coordinates):
Ta (0.0000, 0.0000, 0.0000)
Ni (0.0668, 0.5668, 0.5000)
Ni (0.3095, 0.3095, 0.0000)
Ni (0.4332, 0.9332, 0.5000)
Ni (0.5000, 0.5000, 0.0000)
Ni (0.5668, 0.0668, 0.5000)
Ni (0.6905, 0.6905, 0.0000)
Ni (0.9332, 0.4332, 0.5000)
Sn (0.2112, 0.2112, 0.0000)
Sn (0.7888, 0.7888, 0.0000)
P (0.3859, 0.3859, 0.0000)
P (0.6141, 0.6141, 0.0000)

Properties
**Calculated formation energy**: -3.46 eV/f.u.
**Magnetic moment**: 0.0 Bohr magnetons per cell
**Space-group type**: No. 139